(1)
An optimized crystal structure of Tm3Al3SiPd2, computed with GGA-PBE.

```
Tm3Al3SiPd2
1.0
7.3254 0.0000 0.0000
-3.6627 6.3440 0.0000
0.0000 0.0000 3.7522
Al Pd Si Tm
3 2 1 3
Direct
0.2556 0.0000 0.5000
0.0000 0.2556 0.5000
0.7444 0.7444 0.5000
0.6667 0.3333 0.5000
0.3333 0.6667 0.5000
0.0000 0.0000 0.0000
0.5996 0.0000 0.0000
0.4004 0.4004 0.0000
0.0000 0.5996 0.0000
```

## Properties
Its energy above the most stable polymorph in this dataset is 0.0000 eV per atom.


(2)
An optimized crystal structure of Y2TmAl3Si2Pd, computed with GGA-PBE.

```
Y2TmAl3Si2Pd
1.0
-1.5978 -0.1638 3.9217
5.9776 -2.4454 2.3333
-1.0968 6.7769 -0.1638
Al Pd Si Tm Y
3 1 2 1 2
Direct
0.5000 0.2395 0.2395
0.5000 0.9993 0.7610
0.5000 0.7610 0.9993
0.0000 0.9958 0.9958
0.5000 0.6658 0.3360
0.5000 0.3360 0.6658
0.0000 0.5826 0.5826
0.0000 0.4192 0.0008
0.0000 0.0008 0.4192
```

## Properties
As for the final energy: -5.763 eV per atom.


(3)
An optimized crystal structure of Y3Al3SiPd2, computed with GGA-PBE.

```
Y3Al3SiPd2
1.0
-6.4744 2.8107 -2.7063
-0.1193 -5.9402 4.6735
-0.2308 2.4006 3.0454
Al Pd Si Y
3 2 1 3
Direct
0.5994 0.0000 0.0000
0.4006 0.4006 0.0000
0.0000 0.5994 0.0000
0.6667 0.3333 0.5000
0.3333 0.6667 0.5000
0.0000 0.0000 0.0000
0.2741 0.0000 0.5000
0.0000 0.2741 0.5000
0.7259 0.7259 0.5000
```

## Properties
Its energy above the most stable polymorph in this dataset is 0.3575 eV per atom.


(4)
An optimized crystal structure of Y3Al3SiPd2, computed with GGA-PBE.

```
Y3Al3SiPd2
1.0
7.3959 0.0000 0.0000
-3.6980 6.4051 0.0000
0.0000 0.0000 3.8079
Al Pd Si Y
3 2 1 3
Direct
0.2536 0.0000 0.0000
0.0000 0.2536 0.0000
0.7464 0.7464 0.0000
0.6667 0.3333 0.0000
0.3333 0.6667 0.0000
0.0000 0.0000 0.5000
0.6002 0.0000 0.5000
0.3998 0.3998 0.5000
0.0000 0.6002 0.5000
```

## Properties
Its energy above the most stable polymorph in this dataset is 0.0000 eV per atom.